(1)
# PBE Mg3TiIn, optimized geometry
# Space-group type: No. 221
# Formation enthalpy at 0 K: 0.86 eV/atom
data_Mg3TiIn
_chemical_formula_sum 'Mg3 Ti1 In1'
_cell_length_a 5.184
_cell_length_b 5.184
_cell_length_c 5.184
_cell_angle_alpha 90.00
_cell_angle_beta 90.00
_cell_angle_gamma 90.00
_symmetry_space_group_name_H-M 'P 1'
_symmetry_Int_Tables_number 1
loop_
_symmetry_equiv_pos_as_xyz
'x,y,z'
loop_
_atom_site_label
_atom_site_type_symbol
_atom_site_fract_x
_atom_site_fract_y
_atom_site_fract_z
_atom_site_occupancy
Mg1 Mg 0.000 0.500 0.000 1
Mg2 Mg 0.000 0.000 0.500 1
Mg3 Mg 0.500 0.000 0.000 1
Ti1 Ti 0.500 0.500 0.500 1
In1 In 0.000 0.000 0.000 1

(2)
# PBE CaPu2Ru, optimized geometry
# Space-group type: No. 123
# Formation enthalpy at 0 K: 0.02 eV/atom
data_CaPu2Ru
_chemical_formula_sum 'Ca1 Pu2 Ru1'
_cell_length_a 3.339
_cell_length_b 3.339
_cell_length_c 9.369
_cell_angle_alpha 90.00
_cell_angle_beta 90.00
_cell_angle_gamma 90.00
_symmetry_space_group_name_H-M 'P 1'
_symmetry_Int_Tables_number 1
loop_
_symmetry_equiv_pos_as_xyz
'x,y,z'
loop_
_atom_site_label
_atom_site_type_symbol
_atom_site_fract_x
_atom_site_fract_y
_atom_site_fract_z
_atom_site_occupancy
Ru1 Ru 0.500 0.500 0.000 1
Ca1 Ca 0.500 0.500 0.500 1
Pu1 Pu 0.000 0.000 0.816 1
Pu2 Pu 0.000 0.000 0.184 1

(3)
# PBE PuSnSb, optimized geometry
# Space-group type: No. 63
# Energy relative to the elements, uncorrected: -0.321 eV per atom
data_PuSnSb
_chemical_formula_sum 'Pu2 Sn2 Sb2'
_cell_length_a 4.339
_cell_length_b 6.142
_cell_length_c 6.584
_cell_angle_alpha 90.00
_cell_angle_beta 90.00
_cell_angle_gamma 110.69
_symmetry_space_group_name_H-M 'P 1'
_symmetry_Int_Tables_number 1
loop_
_symmetry_equiv_pos_as_xyz
'x,y,z'
loop_
_atom_site_label
_atom_site_type_symbol
_atom_site_fract_x
_atom_site_fract_y
_atom_site_fract_z
_atom_site_occupancy
Sb1 Sb 0.500 0.000 0.500 1
Sb2 Sb 0.500 0.000 0.000 1
Pu1 Pu 0.138 0.276 0.250 1
Pu2 Pu 0.862 0.724 0.750 1
Sn1 Sn 0.154 0.309 0.750 1
Sn2 Sn 0.846 0.691 0.250 1

(4)
# PBE Ce4GaRh5, optimized geometry
# Space-group type: No. 79
# Formation enthalpy at 0 K: -0.74 eV/atom
data_Ce4GaRh5
_chemical_formula_sum 'Ce4 Ga1 Rh5'
_cell_length_a 5.451
_cell_length_b 6.731
_cell_length_c 6.731
_cell_angle_alpha 80.56
_cell_angle_beta 66.11
_cell_angle_gamma 66.11
_symmetry_space_group_name_H-M 'P 1'
_symmetry_Int_Tables_number 1
loop_
_symmetry_equiv_pos_as_xyz
'x,y,z'
loop_
_atom_site_label
_atom_site_type_symbol
_atom_site_fract_x
_atom_site_fract_y
_atom_site_fract_z
_atom_site_occupancy
Ce1 Ce 0.379 0.388 0.793 1
Ce2 Ce 0.767 0.793 0.612 1
Ce3 Ce 0.172 0.207 0.388 1
Ce4 Ce 0.560 0.612 0.207 1
Ga1 Ga 0.158 0.000 0.000 1
Rh1 Rh 0.880 0.336 0.825 1
Rh2 Rh 0.216 0.825 0.664 1
Rh3 Rh 0.704 0.175 0.336 1
Rh4 Rh 0.040 0.664 0.175 1
Rh5 Rh 0.636 0.000 0.000 1

(5)
# PBE SbTe2SO, optimized geometry
# Space-group type: No. 123
# Energy relative to the elements, uncorrected: 0.398 eV per atom
data_SbTe2SO
_chemical_formula_sum 'Sb1 Te2 S1 O1'
_cell_length_a 4.469
_cell_length_b 4.469
_cell_length_c 5.936
_cell_angle_alpha 90.00
_cell_angle_beta 90.00
_cell_angle_gamma 90.00
_symmetry_space_group_name_H-M 'P 1'
_symmetry_Int_Tables_number 1
loop_
_symmetry_equiv_pos_as_xyz
'x,y,z'
loop_
_atom_site_label
_atom_site_type_symbol
_atom_site_fract_x
_atom_site_fract_y
_atom_site_fract_z
_atom_site_occupancy
Sb1 Sb 0.000 0.000 0.500 1
S1 S 0.500 0.500 0.500 1
Te1 Te 0.000 0.500 0.000 1
Te2 Te 0.500 0.000 0.000 1
O1 O 0.000 0.000 0.000 1

(6)
# PBE Cs3K4Rb, optimized geometry
# Space-group type: No. 123
# Formation enthalpy at 0 K: 0.01 eV/atom
data_Cs3K4Rb
_chemical_formula_sum 'Cs3 K4 Rb1'
_cell_length_a 5.624
_cell_length_b 5.624
_cell_length_c 22.520
_cell_angle_alpha 90.00
_cell_angle_beta 90.00
_cell_angle_gamma 90.00
_symmetry_space_group_name_H-M 'P 1'
_symmetry_Int_Tables_number 1
loop_
_symmetry_equiv_pos_as_xyz
'x,y,z'
loop_
_atom_site_label
_atom_site_type_symbol
_atom_site_fract_x
_atom_site_fract_y
_atom_site_fract_z
_atom_site_occupancy
Cs1 Cs 0.500 0.500 0.245 1
Cs2 Cs 0.500 0.500 0.500 1
Cs3 Cs 0.500 0.500 0.755 1
K1 K 0.000 0.000 0.885 1
K2 K 0.000 0.000 0.115 1
K3 K 0.000 0.000 0.373 1
K4 K 0.000 0.000 0.627 1
Rb1 Rb 0.500 0.500 0.000 1

(7)
# PBE Mn2ReTc, optimized geometry
# Space-group type: No. 8
# Formation enthalpy at 0 K: 0.08 eV/atom
data_Mn2ReTc
_chemical_formula_sum 'Mn2 Re1 Tc1'
_cell_length_a 4.593
_cell_length_b 4.593
_cell_length_c 4.584
_cell_angle_alpha 79.78
_cell_angle_beta 79.78
_cell_angle_gamma 33.84
_symmetry_space_group_name_H-M 'P 1'
_symmetry_Int_Tables_number 1
loop_
_symmetry_equiv_pos_as_xyz
'x,y,z'
loop_
_atom_site_label
_atom_site_type_symbol
_atom_site_fract_x
_atom_site_fract_y
_atom_site_fract_z
_atom_site_occupancy
Mn1 Mn 0.995 0.995 0.005 1
Mn2 Mn 0.255 0.255 0.243 1
Re1 Re 0.505 0.505 0.491 1
Tc1 Tc 0.744 0.744 0.761 1

(8)
# PBE LaPmAs2, optimized geometry
# Space-group type: No. 160
# Formation enthalpy at 0 K: -1.41 eV/atom
data_LaPmAs2
_chemical_formula_sum 'La1 Pm1 As2'
_cell_length_a 4.241
_cell_length_b 4.241
_cell_length_c 7.759
_cell_angle_alpha 74.14
_cell_angle_beta 74.14
_cell_angle_gamma 60.00
_symmetry_space_group_name_H-M 'P 1'
_symmetry_Int_Tables_number 1
loop_
_symmetry_equiv_pos_as_xyz
'x,y,z'
loop_
_atom_site_label
_atom_site_type_symbol
_atom_site_fract_x
_atom_site_fract_y
_atom_site_fract_z
_atom_site_occupancy
La1 La 0.498 0.498 0.507 1
Pm1 Pm 0.669 0.669 0.994 1
As1 As 0.080 0.080 0.759 1
As2 As 0.253 0.253 0.241 1

(9)
# PBE KHfAl2Cl, optimized geometry
# Space-group type: No. 123
# Energy relative to the elements, uncorrected: 1.790 eV per atom
data_KHfAl2Cl
_chemical_formula_sum 'K1 Hf1 Al2 Cl1'
_cell_length_a 5.734
_cell_length_b 5.820
_cell_length_c 5.734
_cell_angle_alpha 90.00
_cell_angle_beta 90.00
_cell_angle_gamma 90.00
_symmetry_space_group_name_H-M 'P 1'
_symmetry_Int_Tables_number 1
loop_
_symmetry_equiv_pos_as_xyz
'x,y,z'
loop_
_atom_site_label
_atom_site_type_symbol
_atom_site_fract_x
_atom_site_fract_y
_atom_site_fract_z
_atom_site_occupancy
K1 K 0.000 0.000 0.000 1
Hf1 Hf 0.000 0.500 0.000 1
Al1 Al 0.000 0.000 0.500 1
Al2 Al 0.500 0.000 0.000 1
Cl1 Cl 0.500 0.500 0.500 1

(10)
# PBE Na2Pa3O8, optimized geometry
# Space-group type: No. 12
# Energy relative to the elements, uncorrected: -3.076 eV per atom
data_Na2Pa3O8
_chemical_formula_sum 'Na2 Pa3 O8'
_cell_length_a 6.080
_cell_length_b 6.577
_cell_length_c 6.577
_cell_angle_alpha 65.28
_cell_angle_beta 77.73
_cell_angle_gamma 77.73
_symmetry_space_group_name_H-M 'P 1'
_symmetry_Int_Tables_number 1
loop_
_symmetry_equiv_pos_as_xyz
'x,y,z'
loop_
_atom_site_label
_atom_site_type_symbol
_atom_site_fract_x
_atom_site_fract_y
_atom_site_fract_z
_atom_site_occupancy
Na1 Na 0.409 0.691 0.691 1
Na2 Na 0.591 0.309 0.309 1
Pa1 Pa 0.500 0.000 0.000 1
Pa2 Pa 0.000 0.743 0.257 1
Pa3 Pa 0.000 0.257 0.743 1
O1 O 0.912 0.402 0.402 1
O2 O 0.088 0.598 0.598 1
O3 O 0.878 0.908 0.908 1
O4 O 0.122 0.092 0.092 1
O5 O 0.641 0.318 0.886 1
O6 O 0.641 0.886 0.318 1
O7 O 0.359 0.114 0.682 1
O8 O 0.359 0.682 0.114 1

(11)
# PBE SrPrHgPt, optimized geometry
# Space-group type: No. 216
# Formation enthalpy at 0 K: -0.65 eV/atom
data_SrPrHgPt
_chemical_formula_sum 'Sr1 Pr1 Hg1 Pt1'
_cell_length_a 5.333
_cell_length_b 5.333
_cell_length_c 5.333
_cell_angle_alpha 60.00
_cell_angle_beta 60.00
_cell_angle_gamma 60.00
_symmetry_space_group_name_H-M 'P 1'
_symmetry_Int_Tables_number 1
loop_
_symmetry_equiv_pos_as_xyz
'x,y,z'
loop_
_atom_site_label
_atom_site_type_symbol
_atom_site_fract_x
_atom_site_fract_y
_atom_site_fract_z
_atom_site_occupancy
Pr1 Pr 0.250 0.250 0.250 1
Sr1 Sr 0.750 0.750 0.750 1
Hg1 Hg 0.000 0.000 0.000 1
Pt1 Pt 0.500 0.500 0.500 1

(12)
# PBE AcCeTm2In4, optimized geometry
# Space-group type: No. 166
# Formation enthalpy at 0 K: -0.38 eV/atom
data_AcCeTm2In4
_chemical_formula_sum 'Ac1 Ce1 Tm2 In4'
_cell_length_a 5.455
_cell_length_b 5.455
_cell_length_c 9.475
_cell_angle_alpha 73.27
_cell_angle_beta 73.27
_cell_angle_gamma 60.00
_symmetry_space_group_name_H-M 'P 1'
_symmetry_Int_Tables_number 1
loop_
_symmetry_equiv_pos_as_xyz
'x,y,z'
loop_
_atom_site_label
_atom_site_type_symbol
_atom_site_fract_x
_atom_site_fract_y
_atom_site_fract_z
_atom_site_occupancy
Ac1 Ac 0.000 0.000 0.000 1
Ce1 Ce 0.500 0.500 0.500 1
Tm1 Tm 0.750 0.750 0.749 1
Tm2 Tm 0.250 0.250 0.251 1
In1 In 0.378 0.378 0.866 1
In2 In 0.873 0.873 0.382 1
In3 In 0.127 0.127 0.618 1
In4 In 0.622 0.622 0.134 1

(13)
# PBE FeCoRu2, optimized geometry
# Space-group type: No. 122
# Formation enthalpy at 0 K: 1.17 eV/atom
data_FeCoRu2
_chemical_formula_sum 'Fe2 Co2 Ru4'
_cell_length_a 5.213
_cell_length_b 5.213
_cell_length_c 6.286
_cell_angle_alpha 65.50
_cell_angle_beta 65.50
_cell_angle_gamma 90.00
_symmetry_space_group_name_H-M 'P 1'
_symmetry_Int_Tables_number 1
loop_
_symmetry_equiv_pos_as_xyz
'x,y,z'
loop_
_atom_site_label
_atom_site_type_symbol
_atom_site_fract_x
_atom_site_fract_y
_atom_site_fract_z
_atom_site_occupancy
Ru1 Ru 0.622 0.125 0.250 1
Ru2 Ru 0.128 0.625 0.250 1
Ru3 Ru 0.375 0.378 0.750 1
Ru4 Ru 0.875 0.872 0.750 1
Co1 Co 0.000 0.000 0.000 1
Co2 Co 0.750 0.250 0.500 1
Fe1 Fe 0.500 0.500 0.000 1
Fe2 Fe 0.250 0.750 0.500 1

(14)
# PBE PmTmSiRu, optimized geometry
# Space-group type: No. 216
# Energy relative to the elements, uncorrected: -0.359 eV per atom
data_PmTmSiRu
_chemical_formula_sum 'Pm1 Tm1 Si1 Ru1'
_cell_length_a 4.928
_cell_length_b 4.928
_cell_length_c 4.928
_cell_angle_alpha 60.00
_cell_angle_beta 60.00
_cell_angle_gamma 60.00
_symmetry_space_group_name_H-M 'P 1'
_symmetry_Int_Tables_number 1
loop_
_symmetry_equiv_pos_as_xyz
'x,y,z'
loop_
_atom_site_label
_atom_site_type_symbol
_atom_site_fract_x
_atom_site_fract_y
_atom_site_fract_z
_atom_site_occupancy
Ru1 Ru 0.250 0.250 0.250 1
Si1 Si 0.750 0.750 0.750 1
Tm1 Tm 0.500 0.500 0.500 1
Pm1 Pm 0.000 0.000 0.000 1

(15)
# PBE Pm5Sm2Tm5, optimized geometry
# Space-group type: No. 12
# Formation enthalpy at 0 K: 0.02 eV/atom
data_Pm5Sm2Tm5
_chemical_formula_sum 'Pm5 Sm2 Tm5'
_cell_length_a 5.050
_cell_length_b 7.997
_cell_length_c 10.747
_cell_angle_alpha 72.77
_cell_angle_beta 76.41
_cell_angle_gamma 71.59
_symmetry_space_group_name_H-M 'P 1'
_symmetry_Int_Tables_number 1
loop_
_symmetry_equiv_pos_as_xyz
'x,y,z'
loop_
_atom_site_label
_atom_site_type_symbol
_atom_site_fract_x
_atom_site_fract_y
_atom_site_fract_z
_atom_site_occupancy
Pm1 Pm 0.500 0.500 0.500 1
Pm2 Pm 0.334 0.332 0.999 1
Pm3 Pm 0.415 0.920 0.251 1
Pm4 Pm 0.585 0.080 0.749 1
Pm5 Pm 0.666 0.668 0.001 1
Sm1 Sm 0.917 0.418 0.748 1
Sm2 Sm 0.083 0.582 0.252 1
Tm1 Tm 0.831 0.837 0.501 1
Tm2 Tm 0.250 0.752 0.748 1
Tm3 Tm 0.750 0.248 0.252 1
Tm4 Tm 0.169 0.163 0.499 1
Tm5 Tm 0.000 0.000 0.000 1

(16)
# PBE Th2SiAs, optimized geometry
# Space-group type: No. 53
# Energy relative to the elements, uncorrected: -1.036 eV per atom
data_Th2SiAs
_chemical_formula_sum 'Th8 Si4 As4'
_cell_length_a 6.022
_cell_length_b 6.022
_cell_length_c 12.087
_cell_angle_alpha 90.00
_cell_angle_beta 90.00
_cell_angle_gamma 90.00
_symmetry_space_group_name_H-M 'P 1'
_symmetry_Int_Tables_number 1
loop_
_symmetry_equiv_pos_as_xyz
'x,y,z'
loop_
_atom_site_label
_atom_site_type_symbol
_atom_site_fract_x
_atom_site_fract_y
_atom_site_fract_z
_atom_site_occupancy
Th1 Th 0.750 0.000 0.877 1
Th2 Th 0.250 0.000 0.123 1
Th3 Th 0.750 0.500 0.623 1
Th4 Th 0.250 0.500 0.377 1
Th5 Th 0.750 0.500 0.127 1
Th6 Th 0.250 0.500 0.873 1
Th7 Th 0.750 0.000 0.373 1
Th8 Th 0.250 0.000 0.627 1
Si1 Si 0.250 0.500 0.625 1
Si2 Si 0.750 0.500 0.375 1
Si3 Si 0.250 0.000 0.875 1
Si4 Si 0.750 0.000 0.125 1
As1 As 0.250 0.000 0.375 1
As2 As 0.750 0.000 0.625 1
As3 As 0.250 0.500 0.125 1
As4 As 0.750 0.500 0.875 1

(17)
# PBE PmPaGa4, optimized geometry
# Space-group type: No. 216
# Formation enthalpy at 0 K: -0.36 eV/atom
data_PmPaGa4
_chemical_formula_sum 'Pm1 Pa1 Ga4'
_cell_length_a 5.563
_cell_length_b 5.563
_cell_length_c 5.563
_cell_angle_alpha 60.00
_cell_angle_beta 60.00
_cell_angle_gamma 60.00
_symmetry_space_group_name_H-M 'P 1'
_symmetry_Int_Tables_number 1
loop_
_symmetry_equiv_pos_as_xyz
'x,y,z'
loop_
_atom_site_label
_atom_site_type_symbol
_atom_site_fract_x
_atom_site_fract_y
_atom_site_fract_z
_atom_site_occupancy
Pa1 Pa 0.250 0.250 0.250 1
Ga1 Ga 0.624 0.624 0.127 1
Ga2 Ga 0.624 0.127 0.624 1
Ga3 Ga 0.624 0.624 0.624 1
Ga4 Ga 0.127 0.624 0.624 1
Pm1 Pm 0.000 0.000 0.000 1

(18)
# PBE Li2Si2PPd5, optimized geometry
# Space-group type: No. 127
# Energy relative to the elements, uncorrected: -0.537 eV per atom
data_Li2Si2PPd5
_chemical_formula_sum 'Li4 Si4 P2 Pd10'
_cell_length_a 3.024
_cell_length_b 10.114
_cell_length_c 10.114
_cell_angle_alpha 90.00
_cell_angle_beta 90.00
_cell_angle_gamma 90.00
_symmetry_space_group_name_H-M 'P 1'
_symmetry_Int_Tables_number 1
loop_
_symmetry_equiv_pos_as_xyz
'x,y,z'
loop_
_atom_site_label
_atom_site_type_symbol
_atom_site_fract_x
_atom_site_fract_y
_atom_site_fract_z
_atom_site_occupancy
Li1 Li 0.000 0.667 0.167 1
Li2 Li 0.000 0.333 0.833 1
Li3 Li 0.000 0.167 0.333 1
Li4 Li 0.000 0.833 0.667 1
Si1 Si 0.000 0.135 0.635 1
Si2 Si 0.000 0.865 0.365 1
Si3 Si 0.000 0.635 0.865 1
Si4 Si 0.000 0.365 0.135 1
P1 P 0.000 0.000 0.000 1
P2 P 0.000 0.500 0.500 1
Pd1 Pd 0.500 0.188 0.088 1
Pd2 Pd 0.500 0.812 0.912 1
Pd3 Pd 0.500 0.088 0.812 1
Pd4 Pd 0.500 0.688 0.412 1
Pd5 Pd 0.500 0.912 0.188 1
Pd6 Pd 0.500 0.312 0.588 1
Pd7 Pd 0.500 0.588 0.688 1
Pd8 Pd 0.500 0.412 0.312 1
Pd9 Pd 0.500 0.500 0.000 1
Pd10 Pd 0.500 0.000 0.500 1

(19)
# PBE Ta2CrCl, optimized geometry
# Space-group type: No. 47
# Energy relative to the elements, uncorrected: -0.022 eV per atom
data_Ta2CrCl
_chemical_formula_sum 'Ta2 Cr1 Cl1'
_cell_length_a 3.042
_cell_length_b 3.103
_cell_length_c 7.428
_cell_angle_alpha 89.99
_cell_angle_beta 90.00
_cell_angle_gamma 90.00
_symmetry_space_group_name_H-M 'P 1'
_symmetry_Int_Tables_number 1
loop_
_symmetry_equiv_pos_as_xyz
'x,y,z'
loop_
_atom_site_label
_atom_site_type_symbol
_atom_site_fract_x
_atom_site_fract_y
_atom_site_fract_z
_atom_site_occupancy
Cr1 Cr 0.500 0.750 0.750 1
Cl1 Cl 0.500 0.250 0.250 1
Ta1 Ta 0.000 0.250 0.948 1
Ta2 Ta 0.000 0.250 0.552 1

(20)
# PBE ScReSe2, optimized geometry
# Space-group type: No. 47
# Energy relative to the elements, uncorrected: 0.021 eV per atom
data_ScReSe2
_chemical_formula_sum 'Sc1 Re1 Se2'
_cell_length_a 3.290
_cell_length_b 5.889
_cell_length_c 3.971
_cell_angle_alpha 90.00
_cell_angle_beta 90.00
_cell_angle_gamma 90.00
_symmetry_space_group_name_H-M 'P 1'
_symmetry_Int_Tables_number 1
loop_
_symmetry_equiv_pos_as_xyz
'x,y,z'
loop_
_atom_site_label
_atom_site_type_symbol
_atom_site_fract_x
_atom_site_fract_y
_atom_site_fract_z
_atom_site_occupancy
Re1 Re 0.500 0.000 0.500 1
Sc1 Sc 0.000 0.500 0.500 1
Se1 Se 0.000 0.000 0.000 1
Se2 Se 0.500 0.500 0.000 1

| no. | raw total energy (eV/atom) | magnetic moment (μB/atom) |
| --- | --- | --- |
| 1 | -2.22 | 0.000 |
| 2 | -9.96 | 2.815 |
| 3 | -7.81 | 1.827 |
| 4 | -7.09 | 0.000 |
| 5 | -3.50 | 0.000 |
| 6 | -0.98 | 0.000 |
| 7 | -10.21 | 0.019 |
| 8 | -6.15 | 0.000 |
| 9 | -2.29 | 0.331 |
| 10 | -8.52 | 0.081 |
| 11 | -3.85 | 0.000 |
| 12 | -4.12 | 0.129 |
| 13 | -7.36 | 0.000 |
| 14 | -6.34 | 0.000 |
| 15 | -4.61 | 0.000 |
| 16 | -7.26 | 0.000 |
| 17 | -4.76 | 0.049 |
| 18 | -5.14 | 0.000 |
| 19 | -8.82 | 0.000 |
| 20 | -6.42 | 0.001 |